# LaTbDy3In PBE optimized geometry
# DOS(E_F) = 33.7 states/eV per cell
# ΔE_f = -77.5 meV/atom
# calculated volume = 32.4 Å³ per atom
data_LaTbDy3In
_symmetry_space_group_name_H-M 'C 1 2/m 1'
_symmetry_Int_Tables_number 12
_symmetry_space_group_name_Hall '-C 2y'
_cell_length_a 21.3579
_cell_length_b 5.2978
_cell_length_c 6.9700
_cell_angle_alpha 90.00
_cell_angle_beta 99.55
_cell_angle_gamma 90.00
loop_
_atom_site_label
_atom_site_fract_x
_atom_site_fract_y
_atom_site_fract_z
La1 0.0734 0.0000 0.1563
Tb1 0.1926 0.5000 0.0604
Dy1 0.0340 0.5000 0.7769
Dy2 0.1440 0.0000 0.7192
Dy3 0.2437 0.0000 0.3590
In1 0.1163 0.5000 0.4335

---

# LaTbDy2In4 PBE optimized geometry
# DOS(E_F) = 12.1 states/eV per cell
# ΔE_f = -473.8 meV/atom
# calculated volume = 27.8 Å³ per atom
data_LaTbDy2In4
_symmetry_space_group_name_H-M 'R -3 m'
_symmetry_Int_Tables_number 166
_symmetry_space_group_name_Hall '-R 3 2"'
_cell_length_a 5.3877
_cell_length_b 5.3877
_cell_length_c 26.4970
_cell_angle_alpha 90.00
_cell_angle_beta 90.00
_cell_angle_gamma 120.00
loop_
_atom_site_label
_atom_site_fract_x
_atom_site_fract_y
_atom_site_fract_z
La1 0.0000 0.0000 0.0000
Tb1 0.0000 0.0000 0.5000
Dy1 0.0000 0.0000 0.2497
In1 0.0000 0.0000 0.1269
In2 0.0000 0.0000 0.3771

---

# LaTb2DyIn4 PBE optimized geometry
# DOS(E_F) = 12.3 states/eV per cell
# ΔE_f = -474.8 meV/atom
# calculated volume = 27.8 Å³ per atom
data_LaTb2DyIn4
_symmetry_space_group_name_H-M 'R -3 m'
_symmetry_Int_Tables_number 166
_symmetry_space_group_name_Hall '-R 3 2"'
_cell_length_a 5.3924
_cell_length_b 5.3924
_cell_length_c 26.5273
_cell_angle_alpha 90.00
_cell_angle_beta 90.00
_cell_angle_gamma 120.00
loop_
_atom_site_label
_atom_site_fract_x
_atom_site_fract_y
_atom_site_fract_z
La1 0.0000 0.0000 0.0000
Tb1 0.0000 0.0000 0.2495
Dy1 0.0000 0.0000 0.5000
In1 0.0000 0.0000 0.1271
In2 0.0000 0.0000 0.3773

---

# La2Tb6Dy3In PBE optimized geometry
# DOS(E_F) = 31.5 states/eV per cell
# ΔE_f = -64.0 meV/atom
# calculated volume = 31.5 Å³ per atom
data_La2Tb6Dy3In
_symmetry_space_group_name_H-M 'C 1 2/m 1'
_symmetry_Int_Tables_number 12
_symmetry_space_group_name_Hall '-C 2y'
_cell_length_a 6.1304
_cell_length_b 10.6205
_cell_length_c 11.8005
_cell_angle_alpha 90.00
_cell_angle_beta 100.00
_cell_angle_gamma 90.00
loop_
_atom_site_label
_atom_site_fract_x
_atom_site_fract_y
_atom_site_fract_z
La1 0.0000 0.1662 0.0000
Tb1 0.2423 0.5000 0.7478
Tb2 0.2466 0.3370 0.2515
Dy1 0.0000 0.0000 0.5000
Dy2 0.0000 0.3331 0.5000
In1 0.0000 0.5000 0.0000

---

# La3Tb6Dy2In PBE optimized geometry
# DOS(E_F) = 33.1 states/eV per cell
# ΔE_f = -36.8 meV/atom
# calculated volume = 32.0 Å³ per atom
data_La3Tb6Dy2In
_symmetry_space_group_name_H-M 'C 1 2/m 1'
_symmetry_Int_Tables_number 12
_symmetry_space_group_name_Hall '-C 2y'
_cell_length_a 6.1805
_cell_length_b 10.7146
_cell_length_c 11.7710
_cell_angle_alpha 90.00
_cell_angle_beta 100.14
_cell_angle_gamma 90.00
loop_
_atom_site_label
_atom_site_fract_x
_atom_site_fract_y
_atom_site_fract_z
La1 0.0000 0.0000 0.0000
La2 0.0000 0.3314 0.0000
Tb1 0.2432 0.3367 0.7413
Tb2 0.2467 0.5000 0.2574
Dy1 0.0000 0.1661 0.5000
In1 0.0000 0.5000 0.5000

---

# LaDy2In3Te6 PBE optimized geometry
# DOS(E_F) = 0.0 states/eV per cell
# calculated volume = 35.3 Å³ per atom
# E_form (uncorrected) = -1158 kJ/mol of formula units
data_LaDy2In3Te6
_symmetry_space_group_name_H-M 'C 1 2/m 1'
_symmetry_Int_Tables_number 12
_symmetry_space_group_name_Hall '-C 2y'
_cell_length_a 7.7714
_cell_length_b 13.4497
_cell_length_c 8.5093
_cell_angle_alpha 90.00
_cell_angle_beta 107.72
_cell_angle_gamma 90.00
loop_
_atom_site_label
_atom_site_fract_x
_atom_site_fract_y
_atom_site_fract_z
La1 0.0000 0.0000 0.0000
Dy1 0.0000 0.3330 0.0000
In1 0.0000 0.1639 0.5000
In2 0.0000 0.5000 0.5000
Te1 0.2280 0.5000 0.2190
Te2 0.2467 0.1724 0.2225

---

# LaDyIn2Te4 PBE optimized geometry
# DOS(E_F) = 0.1 states/eV per cell
# calculated volume = 35.8 Å³ per atom
# E_form (uncorrected) = -783 kJ/mol of formula units
data_LaDyIn2Te4
_symmetry_space_group_name_H-M 'P 1 2/m 1'
_symmetry_Int_Tables_number 10
_symmetry_space_group_name_Hall '-P 2y'
_cell_length_a 7.8332
_cell_length_b 4.5149
_cell_length_c 8.5087
_cell_angle_alpha 90.00
_cell_angle_beta 107.76
_cell_angle_gamma 90.00
loop_
_atom_site_label
_atom_site_fract_x
_atom_site_fract_y
_atom_site_fract_z
La1 0.0000 0.0000 0.0000
Dy1 0.5000 0.5000 0.0000
In1 0.0000 0.5000 0.5000
In2 0.5000 0.0000 0.5000
Te1 0.2529 0.5000 0.2257
Te2 0.2705 0.0000 0.7797

---

# La2DyIn3Te6 PBE optimized geometry
# calculated volume = 36.4 Å³ per atom
# E_form (uncorrected) = -1195 kJ/mol of formula units
data_La2DyIn3Te6
_symmetry_space_group_name_H-M 'C 1 2/m 1'
_symmetry_Int_Tables_number 12
_symmetry_space_group_name_Hall '-C 2y'
_cell_length_a 7.8933
_cell_length_b 13.6608
_cell_length_c 8.5136
_cell_angle_alpha 90.00
_cell_angle_beta 107.99
_cell_angle_gamma 90.00
loop_
_atom_site_label
_atom_site_fract_x
_atom_site_fract_y
_atom_site_fract_z
La1 0.0000 0.1663 0.0000
Dy1 0.0000 0.5000 0.0000
In1 0.0000 0.0000 0.5000
In2 0.0000 0.3314 0.5000
Te1 0.2353 0.3390 0.2232
Te2 0.2462 0.5000 0.7735

---

# LaDyTlIn PBE optimized geometry
# DOS(E_F) = 8.8 states/eV per cell
# ΔE_f = -434.5 meV/atom
# calculated volume = 29.2 Å³ per atom
data_LaDyTlIn
_symmetry_space_group_name_H-M 'F -4 3 m'
_symmetry_Int_Tables_number 216
_symmetry_space_group_name_Hall 'F -4 2 3'
_cell_length_a 7.7552
_cell_length_b 7.7552
_cell_length_c 7.7552
_cell_angle_alpha 90.00
_cell_angle_beta 90.00
_cell_angle_gamma 90.00
loop_
_atom_site_label
_atom_site_fract_x
_atom_site_fract_y
_atom_site_fract_z
La1 0.0000 0.0000 0.0000
Dy1 0.0000 0.0000 0.5000
Tl1 0.2500 0.2500 0.7500
In1 0.2500 0.2500 0.2500

---

# LaDyTmIn PBE optimized geometry
# DOS(E_F) = 29.6 states/eV per cell
# ΔE_f = -78.4 meV/atom
# calculated volume = 28.9 Å³ per atom
data_LaDyTmIn
_symmetry_space_group_name_H-M 'F -4 3 m'
_symmetry_Int_Tables_number 216
_symmetry_space_group_name_Hall 'F -4 2 3'
_cell_length_a 7.7346
_cell_length_b 7.7346
_cell_length_c 7.7346
_cell_angle_alpha 90.00
_cell_angle_beta 90.00
_cell_angle_gamma 90.00
loop_
_atom_site_label
_atom_site_fract_x
_atom_site_fract_y
_atom_site_fract_z
La1 0.0000 0.0000 0.0000
Dy1 0.2500 0.2500 0.2500
Tm1 0.2500 0.2500 0.7500
In1 0.0000 0.0000 0.5000

---

# LaDyTmIn PBE optimized geometry
# DOS(E_F) = 24.3 states/eV per cell
# ΔE_f = -135.8 meV/atom
# calculated volume = 29.8 Å³ per atom
data_LaDyTmIn
_symmetry_space_group_name_H-M 'F -4 3 m'
_symmetry_Int_Tables_number 216
_symmetry_space_group_name_Hall 'F -4 2 3'
_cell_length_a 7.8127
_cell_length_b 7.8127
_cell_length_c 7.8127
_cell_angle_alpha 90.00
_cell_angle_beta 90.00
_cell_angle_gamma 90.00
loop_
_atom_site_label
_atom_site_fract_x
_atom_site_fract_y
_atom_site_fract_z
La1 0.0000 0.0000 0.0000
Dy1 0.2500 0.2500 0.7500
Tm1 0.0000 0.0000 0.5000
In1 0.2500 0.2500 0.2500

---

# La2DyTm2In5 PBE optimized geometry
# DOS(E_F) = 17.5 states/eV per cell
# ΔE_f = -360.1 meV/atom
# calculated volume = 28.3 Å³ per atom
data_La2DyTm2In5
_symmetry_space_group_name_H-M 'P 4/m b m'
_symmetry_Int_Tables_number 127
_symmetry_space_group_name_Hall '-P 4 2ab'
_cell_length_a 11.0243
_cell_length_b 11.0243
_cell_length_c 4.6572
_cell_angle_alpha 90.00
_cell_angle_beta 90.00
_cell_angle_gamma 90.00
loop_
_atom_site_label
_atom_site_fract_x
_atom_site_fract_y
_atom_site_fract_z
La1 0.1761 0.3239 0.0000
Dy1 0.0000 0.0000 0.0000
Tm1 0.1237 0.6237 0.0000
In1 0.0000 0.5000 0.5000
In2 0.0623 0.8047 0.5000